Record 1
The following is a DFT calculation (SCAN) of Mn24Re5 at its PBEsol-relaxed geometry.

Computed properties:
Energy of formation: 0.019 eV/atom
V: 11.0 Å³ per atom
DOS at the Fermi energy: 57.8 states/eV per cell

a b c (Å): 8.617 8.617 8.617
angles (deg): 90.00 90.00 90.00
Space group I-43m (No. 217)
One atom of each set of equivalent atoms:
Mn 0.033 0.357 0.357
Mn 0.090 0.090 0.285
Re 0.000 0.000 0.000
Re 0.184 0.184 0.816

---

Record 2
The following is a DFT calculation (SCAN) of Mn3Re at its PBEsol-relaxed geometry.

Computed properties:
Energy of formation: 0.083 eV/atom
V: 11.9 Å³ per atom
DOS at the Fermi energy: 12.3 states/eV per cell

a b c (Å): 8.0720 8.0720 2.5300
angles (deg): 90.00 90.00 120.00
Space group R-3m (No. 166, hexagonal axes)
One atom of each set of equivalent atoms:
Mn 0.0000 0.5000 0.0000
Re 0.0000 0.0000 0.0000

---

no.,calculated total energy (eV/atom)
1,-27.35
2,-31.38